Entry 1:
Below is an optimized crystal structure of MgPt2Rh, with properties calculated at the GGA-PBEsol level.

Cell and atoms, written as extended XYZ:
```
4
Lattice="-1.950 1.950 3.876 1.950 -1.950 3.876 1.950 1.950 -3.876" Properties=species:S:1:pos:R:3 pbc="T T T"
Mg 0.000 0.000 0.000
Pt 0.000 0.000 3.876
Pt 0.000 1.950 1.938
Rh 1.950 0.000 1.938
```

Properties
The calculation puts the energy of formation from the pure elements at -0.37 eV/atom. As for the crystal system: tetragonal. The value obtained for the total moment is 0.00 Bohr magnetons per cell.

***

Entry 2:
Below is an optimized crystal structure of LaScMo, with properties calculated at the GGA-PBEsol level.

Cell and atoms, written as extended XYZ:
```
3
Lattice="0.000 3.304 3.304 3.304 0.000 3.304 3.304 3.304 0.000" Properties=species:S:1:pos:R:3 pbc="T T T"
La 0.000 0.000 0.000
Sc 3.304 3.304 3.304
Mo 4.956 4.956 4.956
```

Properties
The calculation puts the energy of formation from the pure elements at 0.58 eV/atom. As for the crystal system: cubic. The value obtained for the total moment is 0.00 Bohr magnetons per cell.

***

Entry 3:
Below is an optimized crystal structure of Zr2CuSb, with properties calculated at the GGA-PBEsol level.

Cell and atoms, written as extended XYZ:
```
4
Lattice="3.907 0.000 0.000 0.000 1.895 5.307 0.000 -1.895 5.307" Properties=species:S:1:pos:R:3 pbc="T T T"
Zr 0.000 0.000 0.000
Zr 1.954 0.000 3.318
Cu 0.000 0.000 7.914
Sb 1.954 0.000 6.266
```

Properties
As for the crystal system: orthorhombic. The value obtained for the total moment is 0.00 Bohr magnetons per cell. Its energy is -29.1 eV per cell.

***

Entry 4:
Below is an optimized crystal structure of SrBe2Pt, with properties calculated at the GGA-PBEsol level.

Cell and atoms, written as extended XYZ:
```
4
Lattice="3.424 -1.990 0.000 3.424 1.990 0.000 -2.318 0.000 5.262" Properties=species:S:1:pos:R:3 pbc="T T T"
Sr 0.000 0.000 0.000
Be -0.027 0.000 2.900
Be 4.556 0.000 2.362
Pt 2.265 0.000 2.631
```

Properties
The calculation puts the energy of formation from the pure elements at -0.48 eV/atom. As for the crystal system: monoclinic. The value obtained for the total moment is 0.00 Bohr magnetons per cell.

***

Entry 5:
Below is an optimized crystal structure of Cs2Cd2Hg, with properties calculated at the GGA-PBEsol level.

Cell and atoms, written as extended XYZ:
```
10
Lattice="7.893 0.000 0.000 0.000 7.893 0.000 0.000 0.000 5.967" Properties=species:S:1:pos:R:3 pbc="T T T"
Cs 1.428 2.519 0.000
Cs 2.519 6.465 0.000
Cs 5.374 1.428 0.000
Cs 6.465 5.374 0.000
Cd 1.042 4.989 2.983
Cd 2.904 1.042 2.983
Cd 4.989 6.851 2.983
Cd 6.851 2.904 2.983
Hg 0.000 0.000 2.983
Hg 3.947 3.947 2.983
```

Properties
The calculation puts the energy of formation from the pure elements at 0.00 eV/atom. As for the crystal system: tetragonal. The value obtained for the total moment is 0.00 Bohr magnetons per cell.

***

Entry 6:
Below is an optimized crystal structure of La2ReBr, with properties calculated at the GGA-PBEsol level.

Cell and atoms, written as extended XYZ:
```
4
Lattice="1.727 0.997 9.749 -1.727 0.997 9.749 0.000 -1.994 9.749" Properties=species:S:1:pos:R:3 pbc="T T T"
La 0.000 0.000 0.000
La 0.000 0.000 6.782
Re 0.000 0.000 21.431
Br 0.000 0.000 14.287
```

Properties
As for the crystal system: trigonal. The value obtained for the total moment is 0.00 Bohr magnetons per cell. Its energy is -24.4 eV per cell.

***

Entry 7:
Below is an optimized crystal structure of InSbPS2, with properties calculated at the GGA-PBEsol level.

Cell and atoms, written as extended XYZ:
```
5
Lattice="4.958 0.000 0.000 0.000 4.958 0.000 0.000 0.000 5.025" Properties=species:S:1:pos:R:3 pbc="T T T"
In 0.000 0.000 0.000
Sb 2.479 2.479 2.512
P 2.479 2.479 0.000
S 0.000 2.479 2.512
S 2.479 0.000 2.512
```

Properties
As for the crystal system: tetragonal. The value obtained for the total moment is 0.00 Bohr magnetons per cell. Its energy is -19.9 eV per cell.

***

Entry 8:
Below is an optimized crystal structure of MnCdMo2, with properties calculated at the GGA-PBEsol level.

Cell and atoms, written as extended XYZ:
```
4
Lattice="0.000 3.141 3.141 3.141 0.000 3.141 3.141 3.141 0.000" Properties=species:S:1:pos:R:3 pbc="T T T"
Mn 0.000 0.000 0.000
Cd 1.571 1.571 1.571
Mo 3.141 3.141 3.141
Mo 4.712 4.712 4.712
```

Properties
The calculation puts the energy of formation from the pure elements at 0.50 eV/atom. As for the crystal system: cubic. The value obtained for the total moment is 2.97 Bohr magnetons per cell.

***

Entry 9:
Below is an optimized crystal structure of K2TlAuI6, with properties calculated at the GGA-PBEsol level.

Cell and atoms, written as extended XYZ:
```
10
Lattice="0.000 5.862 5.862 5.862 0.000 5.862 5.862 5.862 0.000" Properties=species:S:1:pos:R:3 pbc="T T T"
K 2.931 2.931 2.931
K 8.794 8.794 8.794
Tl 0.000 0.000 0.000
Au 5.862 5.862 5.862
I 5.862 5.862 3.043
I 5.862 3.043 5.862
I 8.682 5.862 5.862
I 3.043 5.862 5.862
I 5.862 8.682 5.862
I 5.862 5.862 8.682
```

Properties
As for the crystal system: cubic. The value obtained for the total moment is 0.00 Bohr magnetons per cell. Its energy is -25.9 eV per cell.

***

Entry 10:
Below is an optimized crystal structure of Ta3AgN, with properties calculated at the GGA-PBEsol level.

Cell and atoms, written as extended XYZ:
```
5
Lattice="4.796 0.000 0.000 0.000 4.796 0.000 0.000 0.000 4.796" Properties=species:S:1:pos:R:3 pbc="T T T"
Ta 0.000 0.000 2.398
Ta 0.000 2.398 0.000
Ta 2.398 0.000 0.000
Ag 0.000 0.000 0.000
N 2.398 2.398 2.398
```

Properties
As for the crystal system: cubic. The value obtained for the total moment is 0.00 Bohr magnetons per cell. Its energy is -34.0 eV per cell.

***

Entry 11:
Below is an optimized crystal structure of MnTc2Br2, with properties calculated at the GGA-PBEsol level.

Cell and atoms, written as extended XYZ:
```
5
Lattice="-2.094 2.094 5.301 2.094 -2.094 5.301 2.094 2.094 -5.301" Properties=species:S:1:pos:R:3 pbc="T T T"
Mn 0.000 0.000 0.000
Tc 2.094 0.000 2.651
Tc 0.000 2.094 2.651
Br 0.000 0.000 3.886
Br 0.000 0.000 6.717
```

Properties
As for the crystal system: tetragonal. The value obtained for the total moment is 4.42 Bohr magnetons per cell. Its energy is -30.7 eV per cell.

***

Entry 12:
Below is an optimized crystal structure of LaZnB5O10, with properties calculated at the GGA-PBEsol level.

Cell and atoms, written as extended XYZ:
```
68
Lattice="8.759 0.000 0.000 0.000 7.618 0.000 -8.299 0.000 9.498" Properties=species:S:1:pos:R:3 pbc="T T T"
La -1.479 1.398 2.236
La -5.629 2.411 6.985
La 6.089 5.207 2.513
La 1.940 6.220 7.262
Zn -3.022 4.474 8.333
Zn 1.127 6.953 3.584
Zn -0.667 0.665 5.914
Zn 3.482 3.144 1.165
B -4.235 5.127 5.794
B -0.086 6.300 1.045
B 1.330 4.540 0.045
B -2.819 6.887 4.794
B 1.927 0.257 0.497
B -2.222 3.552 5.246
B 0.888 4.431 2.526
B -3.261 6.996 7.275
B -3.329 1.416 8.700
B 0.820 2.393 3.951
B -0.360 5.225 5.547
B 3.790 6.202 0.798
B 3.722 0.622 2.223
B -0.428 3.187 6.972
B 2.682 4.066 4.252
B -1.467 7.361 9.001
B 3.280 0.731 4.704
B -0.869 3.078 9.453
B 0.546 1.318 8.453
B 4.696 2.491 3.704
O -7.960 5.501 9.400
O -3.811 5.926 4.651
O -6.841 0.814 8.693
O -2.692 2.995 3.944
O -6.331 4.124 8.431
O -2.182 7.304 3.682
O -0.131 5.466 2.268
O -4.281 5.961 7.017
O -3.342 3.983 6.127
O 0.808 7.444 1.378
O -1.439 4.774 4.838
O 2.710 6.653 0.089
O 1.671 4.087 1.299
O -2.479 7.340 6.048
O -3.894 0.630 7.716
O 0.255 3.179 2.967
O 0.229 1.156 4.114
O -3.920 2.653 8.863
O 2.810 1.168 1.217
O -1.340 2.641 5.966
O 1.800 4.977 3.532
O -2.349 6.450 8.281
O 4.380 4.965 0.635
O 0.231 6.462 5.384
O 0.206 4.439 6.531
O 4.355 6.988 1.782
O 2.939 0.278 3.450
O -1.210 3.531 8.199
O -2.250 0.965 9.409
O 1.900 2.844 4.660
O -0.347 0.174 8.121
O 3.802 3.635 3.372
O 4.741 1.657 2.481
O 0.592 2.152 7.230
O 2.642 0.315 5.816
O 6.792 3.495 1.067
O 3.152 4.623 5.554
O 7.302 6.804 0.805
O 4.271 1.692 4.847
O 8.421 2.117 0.098
```

Properties
As for the crystal system: monoclinic. The value obtained for the total moment is 0.00 Bohr magnetons per cell. Its energy is -552.8 eV per cell.

***

Entry 13:
Below is an optimized crystal structure of TeOsN2, with properties calculated at the GGA-PBEsol level.

Cell and atoms, written as extended XYZ:
```
8
Lattice="0.000 4.182 4.182 4.182 0.000 4.182 4.182 4.182 0.000" Properties=species:S:1:pos:R:3 pbc="T T T"
Te 1.045 1.045 1.045
Te 7.318 7.318 7.318
Os 3.136 3.136 3.136
Os 5.227 5.227 5.227
N 4.182 2.091 2.091
N 2.091 4.182 2.091
N 2.091 2.091 4.182
N 4.182 4.182 4.182
```

Properties
As for the crystal system: cubic. The value obtained for the total moment is 0.00 Bohr magnetons per cell. Its energy is -59.7 eV per cell.

***

Entry 14:
Below is an optimized crystal structure of GaSnS2Cl, with properties calculated at the GGA-PBEsol level.

Cell and atoms, written as extended XYZ:
```
5
Lattice="4.740 0.000 0.000 0.000 4.740 0.000 0.000 0.000 4.656" Properties=species:S:1:pos:R:3 pbc="T T T"
Ga 0.000 0.000 0.000
Sn 2.370 2.370 2.328
S 0.000 2.370 0.000
S 2.370 0.000 0.000
Cl 0.000 0.000 2.328
```

Properties
As for the crystal system: tetragonal. The value obtained for the total moment is 0.00 Bohr magnetons per cell. Its energy is -20.1 eV per cell.

***

Entry 15:
Below is an optimized crystal structure of LiBeS2, with properties calculated at the GGA-PBEsol level.

Cell and atoms, written as extended XYZ:
```
8
Lattice="-2.753 2.753 4.329 2.753 -2.753 4.329 2.753 2.753 -4.329" Properties=species:S:1:pos:R:3 pbc="T T T"
Li 0.000 0.000 0.000
Li 0.000 2.753 2.165
Be 2.753 0.000 2.165
Be 0.000 0.000 4.329
S 1.377 -1.107 3.247
S 1.646 1.377 1.082
S 1.377 3.860 -1.082
S 1.107 1.377 5.411
```

Properties
As for the crystal system: tetragonal. The value obtained for the total moment is 0.01 Bohr magnetons per cell. Its energy is -35.4 eV per cell.

***

Entry 16:
Below is an optimized crystal structure of LaBr2, with properties calculated at the GGA-PBEsol level.

Cell and atoms, written as extended XYZ:
```
6
Lattice="-3.470 3.470 3.551 3.470 -3.470 3.551 3.470 3.470 -3.551" Properties=species:S:1:pos:R:3 pbc="T T T"
La 0.000 0.000 1.776
La 0.000 0.000 5.327
Br 4.728 1.258 0.000
Br 1.258 2.212 0.000
Br 2.212 1.258 3.551
Br -1.258 2.212 3.551
```

Properties
As for the crystal system: tetragonal. The value obtained for the total moment is 0.00 Bohr magnetons per cell. Its energy is -28.8 eV per cell.

***

Entry 17:
Below is an optimized crystal structure of La3NiBr3, with properties calculated at the GGA-PBEsol level.

Cell and atoms, written as extended XYZ:
```
28
Lattice="-6.050 6.050 5.714 6.050 -6.050 5.714 6.050 6.050 -5.714" Properties=species:S:1:pos:R:3 pbc="T T T"
La 7.615 4.453 -3.126
La 7.647 1.565 -0.269
La 1.383 1.383 0.000
La -1.565 1.597 2.588
La 4.485 -1.597 5.983
La 1.383 4.667 2.857
La 1.597 -1.565 8.840
La 1.565 7.647 0.269
La -1.597 4.485 5.444
La -1.383 7.433 2.857
La 4.667 4.667 5.714
La 4.453 7.615 3.126
Ni 4.509 -4.509 5.714
Ni -1.541 4.509 2.857
Ni -4.509 4.509 5.714
Ni 1.541 7.591 2.857
Br 4.652 -1.398 2.857
Br 4.516 4.513 -2.669
Br 4.513 1.534 0.188
Br 1.534 4.513 -0.188
Br 7.448 1.398 2.857
Br 1.398 -1.398 5.714
Br 1.534 1.537 3.044
Br 4.513 4.516 2.669
Br 4.516 1.537 5.526
Br -1.398 1.398 5.714
Br 1.537 1.534 8.383
Br 1.537 4.516 5.901
```

Properties
As for the crystal system: tetragonal. The value obtained for the total moment is 0.00 Bohr magnetons per cell. Its energy is -147.0 eV per cell.

***

Entry 18:
Below is an optimized crystal structure of Be2SbAu2, with properties calculated at the GGA-PBEsol level.

Cell and atoms, written as extended XYZ:
```
10
Lattice="7.286 0.000 0.000 0.000 7.286 0.000 0.000 0.000 2.914" Properties=species:S:1:pos:R:3 pbc="T T T"
Be 1.002 2.641 0.000
Be 2.641 6.283 0.000
Be 4.645 1.002 0.000
Be 6.283 4.645 0.000
Sb 0.000 0.000 0.000
Sb 3.643 3.643 0.000
Au 1.042 4.685 1.457
Au 2.601 1.042 1.457
Au 4.685 6.243 1.457
Au 6.243 2.601 1.457
```

Properties
As for the crystal system: tetragonal. The value obtained for the total moment is 0.00 Bohr magnetons per cell. Its energy is -39.5 eV per cell.

***

Entry 19:
Below is an optimized crystal structure of MgBe13, with properties calculated at the GGA-PBEsol level.

Cell and atoms, written as extended XYZ:
```
28
Lattice="0.000 5.027 5.027 5.027 0.000 5.027 5.027 5.027 0.000" Properties=species:S:1:pos:R:3 pbc="T T T"
Mg 2.514 2.514 2.514
Mg 7.541 7.541 7.541
Be 0.000 0.000 0.000
Be 5.027 3.895 1.789
Be 8.265 5.027 3.895
Be 6.160 1.789 5.027
Be 6.160 5.027 3.238
Be 5.027 3.238 3.895
Be 6.816 3.895 5.027
Be 5.027 6.160 1.789
Be 3.895 1.789 5.027
Be 8.265 5.027 6.160
Be 3.895 5.027 3.238
Be 6.816 6.160 5.027
Be 5.027 3.238 6.160
Be 5.027 5.027 5.027
Be 5.027 6.816 3.895
Be 3.238 3.895 5.027
Be 6.160 5.027 6.816
Be 1.789 5.027 3.895
Be 6.160 8.265 5.027
Be 5.027 3.895 8.265
Be 3.238 6.160 5.027
Be 5.027 6.816 6.160
Be 3.895 5.027 6.816
Be 3.895 8.265 5.027
Be 1.789 5.027 6.160
Be 5.027 6.160 8.265
```

Properties
The calculation puts the energy of formation from the pure elements at 0.01 eV/atom. As for the crystal system: cubic. The value obtained for the total moment is 0.00 Bohr magnetons per cell.

***

Entry 20:
Below is an optimized crystal structure of CsCoCl3, with properties calculated at the GGA-PBEsol level.

Cell and atoms, written as extended XYZ:
```
10
Lattice="7.124 0.000 0.000 -3.562 6.169 0.000 0.000 0.000 5.789" Properties=species:S:1:pos:R:3 pbc="T T T"
Cs 0.000 4.113 1.447
Cs 3.562 2.056 4.341
Co 0.000 0.000 0.000
Co 0.000 0.000 2.894
Cl 0.000 1.900 4.341
Cl -1.916 5.219 4.341
Cl 1.646 0.950 1.447
Cl 1.916 5.219 4.341
Cl 5.478 0.950 1.447
Cl 3.562 4.269 1.447
```

Properties
As for the crystal system: hexagonal. The value obtained for the total moment is 6.01 Bohr magnetons per cell. Its energy is -41.1 eV per cell.